A plane-wave DFT calculation with PBE was carried out for a geometry-optimized BaCaVIn structure.

Its calculated formation energy is 20.1 kJ/mol of atoms. The energy relative to the lowest polymorph listed for this composition comes out at 0.009 eV/atom.

It has space group P4mm (No. 99), with a = 3.784 Å, b = 3.784 Å, c = 9.138 Å, α = 90.00°, β = 90.00° and γ = 90.00°. The inequivalent atoms are Ba at (0.000, 0.000, 0.000), Ca at (0.500, 0.500, 0.625), V at (0.000, 0.000, 0.399) and In at (0.500, 0.500, 0.269).